<1>
Here is KTaCr2 after structural relaxation from Alexandria. Energies are from PBE-GGA.

Lattice parameters (Å, degrees): 6.0866 6.0866 6.0866 151.45 120.93 66.89
Element x y z (fractional)
K 0.0000 0.0000 0.0000
Ta 0.5000 0.5000 0.0000
Cr 0.2930 0.7930 0.5000
Cr 0.7070 0.2070 0.5000

Values from the calculation:
The density of states at the Fermi level comes out at 3.57 states/eV/cell.



<2>
Here is KTaCr2 after structural relaxation from Alexandria. Energies are from PBE-GGA.

Lattice parameters (Å, degrees): 5.7273 5.7273 5.7273 138.48 138.48 60.17
Element x y z (fractional)
K 0.0000 0.0000 0.0000
Ta 0.2500 0.7500 0.5000
Cr 0.5000 0.5000 0.0000
Cr 0.7500 0.2500 0.5000

Values from the calculation:
The density of states at the Fermi level comes out at 4.46 states/eV/cell.



<3>
Here is KTaCr2 after structural relaxation from Alexandria. Energies are from PBE-GGA.

Lattice parameters (Å, degrees): 4.8846 4.8846 7.1888 91.95 91.95 34.59
Element x y z (fractional)
K 0.0000 0.0000 0.0000
Ta 0.5000 0.5000 0.5000
Cr 0.2406 0.2406 0.6079
Cr 0.7594 0.7594 0.3921

Values from the calculation:
The density of states at the Fermi level comes out at 3.81 states/eV/cell.



Which one is the most stable? From the structures above, <3>.